Entry 1:
The following is a DFT calculation (PBE) of Cu2NiPb after structural relaxation.

Cell lengths 9.603, 9.603, 9.603 Å; angles 157.30, 157.30, 32.33 degrees
Element x y z (fractional)
1 Cu 0.085 0.625 0.960
2 Cu 0.375 0.335 0.460
3 Cu 0.665 0.125 0.040
4 Cu 0.875 0.915 0.540
5 Ni 0.000 0.000 0.000
6 Ni 0.750 0.250 0.500
7 Pb 0.250 0.750 0.500
8 Pb 0.500 0.500 0.000

- M_tot (μB per cell) = 0.00
- space-group type = I-42d, No. 122
- electronic total energy (eV/atom) = -4.041
- theoretical density (Mg/m³) = 9.90

=====

Entry 2:
The following is a DFT calculation (PBE) of CuNiPb2 after structural relaxation.

Cell lengths 6.497, 6.497, 6.497 Å; angles 36.85, 36.85, 36.85 degrees
Element x y z (fractional)
1 Cu 0.000 0.000 0.000
2 Ni 0.315 0.315 0.315
3 Pb 0.564 0.564 0.564
4 Pb 0.753 0.753 0.753

- M_tot (μB per cell) = 0.00
- space-group type = R3m, No. 160
- electronic total energy (eV/atom) = -4.139
- theoretical density (Mg/m³) = 10.09

=====

Entry 3:
The following is a DFT calculation (PBE) of Cu2Ni2Pb after structural relaxation.

Cell lengths 6.307, 6.307, 6.307 Å; angles 146.77, 146.77, 47.71 degrees
Element x y z (fractional)
1 Cu 0.250 0.750 0.500
2 Cu 0.750 0.250 0.500
3 Ni 0.105 0.105 0.000
4 Ni 0.895 0.895 0.000
5 Pb 0.500 0.500 0.000

- M_tot (μB per cell) = 0.00
- space-group type = I4/mmm, No. 139
- electronic total energy (eV/atom) = -4.433
- theoretical density (Mg/m³) = 9.99

=====

Entry 4:
The following is a DFT calculation (PBE) of Cu2Ni2Pb after structural relaxation.

Cell lengths 6.971, 6.971, 2.956 Å; angles 90.00, 90.00, 90.00 degrees
Element x y z (fractional)
1 Cu 0.126 0.374 0.000
2 Cu 0.374 0.874 0.000
3 Cu 0.626 0.126 0.000
4 Cu 0.874 0.626 0.000
5 Ni 0.163 0.663 0.500
6 Ni 0.337 0.163 0.500
7 Ni 0.663 0.837 0.500
8 Ni 0.837 0.337 0.500
9 Pb 0.000 0.000 0.000
10 Pb 0.500 0.500 0.000

- M_tot (μB per cell) = 0.00
- space-group type = P4/mbm, No. 127
- electronic total energy (eV/atom) = -4.432
- theoretical density (Mg/m³) = 10.44

=====

electronic total energy of number 2 (CuNiPb2)? -4.139 eV/atom

=====

The highest theoretical density belongs to which entry? number 4

=====

Please write out number 2 again, unchanged.
The following is a DFT calculation (PBE) of CuNiPb2 after structural relaxation.

Cell lengths 6.497, 6.497, 6.497 Å; angles 36.85, 36.85, 36.85 degrees
Element x y z (fractional)
1 Cu 0.000 0.000 0.000
2 Ni 0.315 0.315 0.315
3 Pb 0.564 0.564 0.564
4 Pb 0.753 0.753 0.753

- M_tot (μB per cell) = 0.00
- space-group type = R3m, No. 160
- electronic total energy (eV/atom) = -4.139
- theoretical density (Mg/m³) = 10.09